Below is SrSc2In after structural relaxation, with properties calculated at the GGA-PBE level.

Computed properties:
For the formation energy, the calculation gives 50 meV/atom. Its electronic total energy is -33.8 eV/cell. The density of states at the Fermi level is 10.97 states/eV/cell.

POSCAR file:
```
SrSc2In
1.0
4.9442 0.0000 0.0000
0.0000 4.9442 0.0000
0.0000 0.0000 8.9865
Sr Sc In
2 4 2
direct
0.0000 0.0000 0.0000
0.5000 0.5000 0.5000
0.0000 0.5000 0.2500
0.0000 0.5000 0.7500
0.5000 0.0000 0.2500
0.5000 0.0000 0.7500
0.0000 0.0000 0.5000
0.5000 0.5000 0.0000
```